AlCd2RuCl | meta-GGA SCAN | single point on PBEsol structure

Output
- Size of the total moment: 3.15 μB/cell
- ΔE_f (raw): 856 meV per atom
- DFT total energy: -21.421 eV per atom
- Crystal system: tetragonal

a b c (Å): 5.084 5.084 4.637
angles (deg): 90.00 90.00 90.00
Atoms (fractional coordinates):
Al  0.000  0.000  0.000
Cd  0.000  0.500  0.000
Cd  0.500  0.000  0.000
Ru  0.500  0.500  0.500
Cl  0.000  0.000  0.500